[1]
Density functional theory data (PBE) for a relaxed structure of Ac2HoSn3Rh4.

Calculated values
DOS(E_F): 7.491 states/eV/f.u.
Electronic total energy: -6.207 eV/atom
Total magnetic moment: 0.00 μB/atom
Energy relative to the elements: -786 meV per atom
Crystal system: tetragonal

```
data_Ac2HoSn3Rh4
_space_group_name_H-M_alt 'P -4 m 2'
_space_group_IT_number 115
_cell_length_a 4.509
_cell_length_b 4.509
_cell_length_c 11.535
_cell_angle_alpha 90.00
_cell_angle_beta 90.00
_cell_angle_gamma 90.00
loop_
_space_group_symop_operation_xyz
'x,y,z'
'y,-x,-z'
'-x,-y,z'
'-y,x,-z'
'-x,y,z'
'-y,-x,-z'
'x,-y,z'
'y,x,-z'
loop_
_atom_site_label
_atom_site_fract_x
_atom_site_fract_y
_atom_site_fract_z
Ac1 0.000 0.500 0.238
Ho1 0.000 0.000 0.500
Sn1 0.000 0.500 0.877
Sn2 0.500 0.500 0.500
Rh1 0.000 0.000 0.000
Rh2 0.000 0.500 0.645
Rh3 0.500 0.500 0.000
```


[2]
Density functional theory data (PBE) for a relaxed structure of TeBrN2.

Calculated values
DOS(E_F): 2.229 states/eV/f.u.
Electronic total energy: -3.897 eV/atom
Total magnetic moment: 0.25 μB/atom
Formation energy (no corrections): 1469 meV/atom
Crystal system: tetragonal
Energy above the lowest structure with this stoichiometry: 1.4737 eV per atom

```
data_TeBrN2
_space_group_name_H-M_alt 'I -4 2 d'
_space_group_IT_number 122
_space_group_name_Hall 'I -4 2bw'
_cell_length_a 6.155
_cell_length_b 6.155
_cell_length_c 8.098
_cell_angle_alpha 90.00
_cell_angle_beta 90.00
_cell_angle_gamma 90.00
loop_
_atom_site_label
_atom_site_fract_x
_atom_site_fract_y
_atom_site_fract_z
Te1 0.000 0.000 0.000
Br1 0.000 0.000 0.500
N1 0.136 0.750 0.125
```


[3]
Density functional theory data (PBE) for a relaxed structure of AcTbIn.

Calculated values
DOS(E_F): 1.929 states/eV/f.u.
Electronic total energy: -4.082 eV/atom
Total magnetic moment: 0.00 μB/atom
Energy relative to the elements: -257 meV per atom
Crystal system: tetragonal
Energy above the lowest structure with this stoichiometry: 0.0526 eV per atom

```
data_AcTbIn
_space_group_name_H-M_alt 'I 4 m m'
_space_group_IT_number 107
_space_group_name_Hall 'I 4 -2'
_cell_length_a 3.793
_cell_length_b 3.793
_cell_length_c 14.028
_cell_angle_alpha 90.00
_cell_angle_beta 90.00
_cell_angle_gamma 90.00
loop_
_atom_site_label
_atom_site_fract_x
_atom_site_fract_y
_atom_site_fract_z
Ac1 0.000 0.000 0.000
Tb1 0.000 0.000 0.697
In1 0.000 0.000 0.329
```